DFT (GGA-PBEsol) results for a geometry-optimized Li3Mn4P6O24 structure.

Computed properties:
Total moment   13.0 μB/cell
Electronic total energy   -280.32 eV per cell
V   10.88 Å³/atom
Density of states at the Fermi level   0.12 states/eV/atom
Theoretical density   3.3 g/cm3

a = 8.4544 Å, b = 8.4544 Å, c = 6.1614 Å
α = 106.39°, β = 106.39°, γ = 91.75°
With the nearest neighbours (Å) after each atom.
Atoms (fractional coordinates):
Li1 0.0000 0.0000 0.0000  4 O 2.01-2.19
Li2 0.2137 0.7418 0.2657  4 O 1.93-2.04
Li3 0.2582 0.7863 0.7343  4 O 1.93-2.04
Mn1 0.0961 0.3463 0.8867  6 O 1.86-2.04
Mn2 0.3365 0.2267 0.6134  5 O 1.82-1.95
Mn3 0.6537 0.9039 0.1133  6 O 1.86-2.04
Mn4 0.7733 0.6635 0.3866  5 O 1.82-1.95
P1 0.0636 0.4394 0.3878  4 O 1.49-1.61
P2 0.3598 0.1281 0.1003  4 O 1.50-1.61
P3 0.4361 0.5639 0.0000  4 O 1.55-1.57
P4 0.5606 0.9364 0.6122  4 O 1.49-1.61
P5 0.8719 0.6402 0.8997  4 O 1.50-1.61
P6 0.9972 0.0028 0.5000  4 O 1.55-1.56
O1 0.0236 0.7644 0.9981  1 P 1.50
O2 0.0648 0.3068 0.1538  1 P 1.56
O3 0.1214 0.3393 0.5777  1 P 1.61
O4 0.1750 0.0289 0.4788  1 P 1.56
O5 0.1787 0.5941 0.4568  1 P 1.49
O6 0.2356 0.9764 0.0019  1 P 1.50
O7 0.2563 0.5432 0.0199  1 P 1.57
O8 0.3106 0.2380 0.9221  1 P 1.61
O9 0.3558 0.2510 0.3375  1 P 1.55
O10 0.4059 0.8213 0.5432  1 P 1.49
O11 0.4536 0.4395 0.7724  1 P 1.55
O12 0.4568 0.7437 0.9801  1 P 1.57
O13 0.5279 0.1193 0.6407  1 P 1.55
O14 0.5409 0.0910 0.1316  1 P 1.54
O15 0.5605 0.5464 0.2276  1 P 1.55
O16 0.6607 0.8786 0.4223  1 P 1.61
O17 0.6932 0.9352 0.8462  1 P 1.56
O18 0.7490 0.6442 0.6625  1 P 1.55
O19 0.7620 0.6894 0.0779  1 P 1.61
O20 0.8737 0.0228 0.2716  1 P 1.55
O21 0.8807 0.4721 0.3593  1 P 1.55
O22 0.9090 0.4591 0.8684  1 P 1.54
O23 0.9711 0.8250 0.5212  1 P 1.56
O24 0.9772 0.1263 0.7284  1 P 1.55

DFT (GGA-PBEsol) results for a geometry-optimized MgZnCd2 structure.

Computed properties:
Total moment   0.0 μB/cell
Electronic total energy   -5.79 eV per cell
Calculated formation energy   -0.02 eV per atom
V   19.37 Å³/atom
Density of states at the Fermi level   0.33 states/eV/atom
Theoretical density   6.7 g/cm3

a = 3.1187 Å, b = 4.5024 Å, c = 5.7054 Å
α = 90.00°, β = 104.70°, γ = 90.00°
With the nearest neighbours (Å) after each atom.
Atoms (fractional coordinates):
Mg1 0.0000 0.0000 0.0000  4 Zn 2.93-2.94, 7 Cd 2.95-3.26, 2 Mg 3.12
Zn1 0.5865 0.5000 0.1900  3 Cd 2.72-2.76, 4 Mg 2.93-2.94
Cd1 0.3342 0.5000 0.6908  1 Zn 2.76, 4 Cd 3.00-3.01
Cd2 0.7253 0.0000 0.4666  2 Zn 2.72, 3 Mg 2.95-3.02, 4 Cd 3.00-3.01

DFT (GGA-PBEsol) results for a geometry-optimized TiP2O7 structure.

Computed properties:
Total moment   0.0 μB/cell
Electronic total energy   -325.85 eV per cell
V   13.58 Å³/atom
Density of states at the Fermi level   0.00 states/eV/atom
Theoretical density   2.7 g/cm3

a = 8.1599 Å, b = 8.1599 Å, c = 8.1599 Å
α = 90.00°, β = 90.00°, γ = 90.00°
With the nearest neighbours (Å) after each atom.
Atoms (fractional coordinates):
Ti1 0.0000 0.0000 0.0000  6 O 1.93
Ti2 0.0000 0.5000 0.5000  6 O 1.93
Ti3 0.5000 0.0000 0.5000  6 O 1.93
Ti4 0.5000 0.5000 0.0000  6 O 1.93
P1 0.1117 0.6117 0.8883  4 O 1.51-1.58
P2 0.1117 0.8883 0.3883  4 O 1.51-1.58
P3 0.3883 0.1117 0.8883  4 O 1.51-1.58
P4 0.3883 0.3883 0.3883  4 O 1.51-1.58
P5 0.6117 0.6117 0.6117  4 O 1.51-1.58
P6 0.6117 0.8883 0.1117  4 O 1.51-1.58
P7 0.8883 0.1117 0.6117  4 O 1.51-1.58
P8 0.8883 0.3883 0.1117  4 O 1.51-1.58
O1 0.0000 0.0000 0.5000  2 P 1.58
O2 0.0000 0.5000 0.0000  2 P 1.58
O3 0.0586 0.7126 0.4159  1 P 1.51
O4 0.0586 0.7874 0.9159  1 P 1.51
O5 0.0841 0.5586 0.7126  1 P 1.51
O6 0.0841 0.9414 0.2126  1 P 1.51
O7 0.2126 0.0841 0.9414  1 P 1.51
O8 0.2126 0.4159 0.4414  1 P 1.51
O9 0.2874 0.5841 0.9414  1 P 1.51
O10 0.2874 0.9159 0.4414  1 P 1.51
O11 0.4159 0.0586 0.7126  1 P 1.51
O12 0.4159 0.4414 0.2126  1 P 1.51
O13 0.4414 0.2126 0.4159  1 P 1.51
O14 0.4414 0.2874 0.9159  1 P 1.51
O15 0.5000 0.0000 0.0000  2 P 1.58
O16 0.5000 0.5000 0.5000  2 P 1.58
O17 0.5586 0.7126 0.0841  1 P 1.51
O18 0.5586 0.7874 0.5841  1 P 1.51
O19 0.5841 0.5586 0.7874  1 P 1.51
O20 0.5841 0.9414 0.2874  1 P 1.51
O21 0.7126 0.0841 0.5586  1 P 1.51
O22 0.7126 0.4159 0.0586  1 P 1.51
O23 0.7874 0.5841 0.5586  1 P 1.51
O24 0.7874 0.9159 0.0586  1 P 1.51
O25 0.9159 0.0586 0.7874  1 P 1.51
O26 0.9159 0.4414 0.2874  1 P 1.51
O27 0.9414 0.2126 0.0841  1 P 1.51
O28 0.9414 0.2874 0.5841  1 P 1.51

DFT (GGA-PBEsol) results for a geometry-optimized BaSrAu structure.

Computed properties:
Total moment   0.0 μB/cell
Electronic total energy   -9.21 eV per cell
Calculated formation energy   -0.43 eV per atom
V   37.94 Å³/atom
Density of states at the Fermi level   1.06 states/eV/atom
Theoretical density   6.2 g/cm3

a = 5.4395 Å, b = 5.4395 Å, c = 5.4395 Å
α = 60.00°, β = 60.00°, γ = 60.00°
With the nearest neighbours (Å) after each atom.
Atoms (fractional coordinates):
Ba1 0.0000 0.0000 0.0000  4 Au 3.33
Sr1 0.5000 0.5000 0.5000  4 Au 3.33
Au1 0.2500 0.2500 0.2500  4 Ba 3.33, 4 Sr 3.33